# 1
# RbBaTl4 | Alexandria | PBE-GGA | relaxed
# Spin magnetization = 0.00 μB per formula unit
# Energy relative to the elements = -186.2 meV per atom
# Relative energy among the computed polymorphs = 0.0254 eV per atom
data_RbBaTl4
_chemical_formula_sum 'Rb1 Ba1 Tl4'
_symmetry_space_group_name_H-M 'P 1'
_symmetry_Int_Tables_number 1
_cell_length_a 4.0838
_cell_length_b 5.5725
_cell_length_c 9.6613
_cell_angle_alpha 90.00
_cell_angle_beta 90.00
_cell_angle_gamma 90.00
loop_
_symmetry_equiv_pos_as_xyz
'x,y,z'
loop_
_atom_site_label
_atom_site_fract_x
_atom_site_fract_y
_atom_site_fract_z
_atom_site_occupancy
Rb1 0.9986 0.9973 0.4981 1
Ba1 0.9986 0.4973 0.9981 1
Tl1 0.4986 0.9973 0.1613 1
Tl2 0.4985 0.9973 0.8350 1
Tl3 0.4987 0.4973 0.6682 1
Tl4 0.4986 0.4973 0.3281 1

---

# 2
# Dy2CuAu2 | Alexandria | PBE-GGA | relaxed
# Spin magnetization = 0.00 μB per formula unit
# Energy relative to the elements = -551.5 meV per atom
data_Dy2CuAu2
_chemical_formula_sum 'Dy4 Cu2 Au4'
_symmetry_space_group_name_H-M 'P 1'
_symmetry_Int_Tables_number 1
_cell_length_a 3.9159
_cell_length_b 7.3510
_cell_length_c 8.4487
_cell_angle_alpha 90.00
_cell_angle_beta 103.40
_cell_angle_gamma 90.00
loop_
_symmetry_equiv_pos_as_xyz
'x,y,z'
loop_
_atom_site_label
_atom_site_fract_x
_atom_site_fract_y
_atom_site_fract_z
_atom_site_occupancy
Dy1 0.9721 0.7665 0.9442 1
Dy2 0.8019 0.3416 0.6038 1
Dy3 0.1981 0.8416 0.3962 1
Dy4 0.0279 0.2665 0.0558 1
Cu1 0.4125 0.0969 0.8249 1
Cu2 0.5875 0.5969 0.1751 1
Au1 0.4253 0.4730 0.8506 1
Au2 0.8187 0.9564 0.6374 1
Au3 0.1813 0.4564 0.3626 1
Au4 0.5747 0.9730 0.1494 1

---

# 3
# TmZnH8Ir2 | Alexandria | PBE-GGA | relaxed
# E_tot = -4.3591 eV/atom
# Spin magnetization = 0.00 μB per formula unit
data_TmZnH8Ir2
_chemical_formula_sum 'Tm1 Zn1 H8 Ir2'
_symmetry_space_group_name_H-M 'P 1'
_symmetry_Int_Tables_number 1
_cell_length_a 4.2469
_cell_length_b 4.6084
_cell_length_c 6.3464
_cell_angle_alpha 64.87
_cell_angle_beta 70.45
_cell_angle_gamma 62.56
loop_
_symmetry_equiv_pos_as_xyz
'x,y,z'
loop_
_atom_site_label
_atom_site_fract_x
_atom_site_fract_y
_atom_site_fract_z
_atom_site_occupancy
Tm1 0.5000 0.5000 0.5000 1
Zn1 0.0000 0.0000 0.0000 1
H1 0.9166 0.5121 0.6546 1
H2 0.7124 0.4473 0.1279 1
H3 0.0833 0.4879 0.3454 1
H4 0.2876 0.5527 0.8721 1
H5 0.5964 0.0099 0.3233 1
H6 0.4036 0.9901 0.6767 1
H7 0.0704 0.0099 0.3233 1
H8 0.9296 0.9901 0.6767 1
Ir1 0.2923 0.2665 0.1489 1
Ir2 0.7077 0.7335 0.8511 1

---

# 4
# GaI2Br | Alexandria | PBE-GGA | relaxed
# Spin magnetization = 0.00 μB per formula unit
# Uncorrected formation energy = 0.1866 eV/atom
# Relative energy among the computed polymorphs = 0.7201 eV per atom
data_GaI2Br
_chemical_formula_sum 'Ga1 I2 Br1'
_symmetry_space_group_name_H-M 'P 1'
_symmetry_Int_Tables_number 1
_cell_length_a 5.6007
_cell_length_b 5.6007
_cell_length_c 5.6007
_cell_angle_alpha 60.00
_cell_angle_beta 60.00
_cell_angle_gamma 60.00
loop_
_symmetry_equiv_pos_as_xyz
'x,y,z'
loop_
_atom_site_label
_atom_site_fract_x
_atom_site_fract_y
_atom_site_fract_z
_atom_site_occupancy
I1 0.2500 0.2500 0.2500 1
I2 0.7500 0.7500 0.7500 1
Ga1 0.0000 0.0000 0.0000 1
Br1 0.5000 0.5000 0.5000 1

---

# 5
# Zn2TeBr | Alexandria | PBE-GGA | relaxed
# Spin magnetization = 0.00 μB per formula unit
# Uncorrected formation energy = -0.1145 eV/atom
# Relative energy among the computed polymorphs = 0.1593 eV per atom
data_Zn2TeBr
_chemical_formula_sum 'Zn2 Te1 Br1'
_symmetry_space_group_name_H-M 'P 1'
_symmetry_Int_Tables_number 1
_cell_length_a 5.0394
_cell_length_b 5.0394
_cell_length_c 7.6916
_cell_angle_alpha 90.00
_cell_angle_beta 90.00
_cell_angle_gamma 133.74
loop_
_symmetry_equiv_pos_as_xyz
'x,y,z'
loop_
_atom_site_label
_atom_site_fract_x
_atom_site_fract_y
_atom_site_fract_z
_atom_site_occupancy
Br1 0.5000 0.5000 0.2500 1
Te1 0.5000 0.5000 0.7500 1
Zn1 0.0000 0.0000 0.9877 1
Zn2 0.0000 0.0000 0.5123 1

---

# 6
# Pm8GeC4 | Alexandria | PBE-GGA | relaxed
# Spin magnetization = 0.93 μB per formula unit
# Energy relative to the elements = -126.4 meV per atom
data_Pm8GeC4
_chemical_formula_sum 'Pm8 Ge1 C4'
_symmetry_space_group_name_H-M 'P 1'
_symmetry_Int_Tables_number 1
_cell_length_a 7.7929
_cell_length_b 7.7929
_cell_length_c 7.7929
_cell_angle_alpha 60.00
_cell_angle_beta 60.00
_cell_angle_gamma 60.00
loop_
_symmetry_equiv_pos_as_xyz
'x,y,z'
loop_
_atom_site_label
_atom_site_fract_x
_atom_site_fract_y
_atom_site_fract_z
_atom_site_occupancy
Pm1 0.5869 0.1377 0.1377 1
Pm2 0.1377 0.5869 0.1377 1
Pm3 0.1377 0.1377 0.5869 1
Pm4 0.1377 0.1377 0.1377 1
Pm5 0.1811 0.6063 0.6063 1
Pm6 0.6063 0.1811 0.6063 1
Pm7 0.6063 0.6063 0.1811 1
Pm8 0.6063 0.6063 0.6063 1
Ge1 0.7500 0.7500 0.7500 1
C1 0.8919 0.3694 0.3694 1
C2 0.3694 0.8919 0.3694 1
C3 0.3694 0.3694 0.8919 1
C4 0.3694 0.3694 0.3694 1

---

# 7
# Ni2SbRh | Alexandria | PBE-GGA | relaxed
# Spin magnetization = 1.03 μB per formula unit
# Uncorrected formation energy = 0.2763 eV/atom
data_Ni2SbRh
_chemical_formula_sum 'Ni2 Sb1 Rh1'
_symmetry_space_group_name_H-M 'P 1'
_symmetry_Int_Tables_number 1
_cell_length_a 7.8280
_cell_length_b 7.8280
_cell_length_c 7.8280
_cell_angle_alpha 22.39
_cell_angle_beta 22.39
_cell_angle_gamma 22.39
loop_
_symmetry_equiv_pos_as_xyz
'x,y,z'
loop_
_atom_site_label
_atom_site_fract_x
_atom_site_fract_y
_atom_site_fract_z
_atom_site_occupancy
Ni1 0.9964 0.9964 0.9964 1
Ni2 0.2538 0.2538 0.2538 1
Rh1 0.5030 0.5030 0.5030 1
Sb1 0.7467 0.7467 0.7467 1

---

# 8
# Li16Ag6Pd7 | Alexandria | PBE-GGA | relaxed
# Spin magnetization = 0.00 μB per formula unit
# Energy relative to the elements = -285.4 meV per atom
data_Li16Ag6Pd7
_chemical_formula_sum 'Li16 Ag6 Pd7'
_symmetry_space_group_name_H-M 'P 1'
_symmetry_Int_Tables_number 1
_cell_length_a 8.6444
_cell_length_b 8.6444
_cell_length_c 8.6444
_cell_angle_alpha 60.00
_cell_angle_beta 60.00
_cell_angle_gamma 60.00
loop_
_symmetry_equiv_pos_as_xyz
'x,y,z'
loop_
_atom_site_label
_atom_site_fract_x
_atom_site_fract_y
_atom_site_fract_z
_atom_site_occupancy
Li1 0.8678 0.8678 0.3965 1
Li2 0.8678 0.8678 0.8678 1
Li3 0.8678 0.3965 0.8678 1
Li4 0.3965 0.8678 0.8678 1
Li5 0.1322 0.1322 0.1322 1
Li6 0.1322 0.1322 0.6035 1
Li7 0.1322 0.6035 0.1322 1
Li8 0.6035 0.1322 0.1322 1
Li9 0.6277 0.6277 0.1168 1
Li10 0.6277 0.6277 0.6277 1
Li11 0.6277 0.1168 0.6277 1
Li12 0.1168 0.6277 0.6277 1
Li13 0.3723 0.3723 0.3723 1
Li14 0.3723 0.3723 0.8832 1
Li15 0.3723 0.8832 0.3723 1
Li16 0.8832 0.3723 0.3723 1
Ag1 0.2412 0.7588 0.2412 1
Ag2 0.7588 0.2412 0.7588 1
Ag3 0.7588 0.2412 0.2412 1
Ag4 0.2412 0.7588 0.7588 1
Ag5 0.7588 0.7588 0.2412 1
Ag6 0.2412 0.2412 0.7588 1
Pd1 0.0000 0.0000 0.0000 1
Pd2 0.5000 0.0000 0.5000 1
Pd3 0.0000 0.5000 0.0000 1
Pd4 0.0000 0.5000 0.5000 1
Pd5 0.5000 0.0000 0.0000 1
Pd6 0.0000 0.0000 0.5000 1
Pd7 0.5000 0.5000 0.0000 1